Below is an optimized crystal structure of La10PmTm4, with properties calculated at the PBE level.

Values from the calculation:
Total magnetization, μB per atom: 0.000
ΔE_f, eV per atom: 0.2024
D(E_F), states/eV/cell: 22.8
Mass density, Mg/m³: 6.91

Cell: 7.912 9.097 9.097 Å, 79.10 64.22 64.22°
Fractional positions:
La 0.250 0.500 0.500
La 0.711 0.219 0.781
La 0.070 0.219 0.219
La 0.508 0.781 0.781
La 0.711 0.781 0.219
La 0.289 0.781 0.219
La 0.750 0.500 0.500
La 0.289 0.219 0.781
La 0.492 0.219 0.219
La 0.930 0.781 0.781
Pm 0.000 0.000 0.000
Tm 0.231 0.000 0.538
Tm 0.769 0.462 0.000
Tm 0.231 0.538 0.000
Tm 0.769 0.000 0.462